No. 1
{
  "formula": "CaTi2Ir2",
  "functional": "GGA-PBEsol",
  "state": "optimized geometry",
  "cell": [[4.195, 0.000, 0.000], [0.000, 4.195, 0.000], [0.000, 0.000, 10.773]],
  "species": ["Ca", "Ca", "Ti", "Ti", "Ti", "Ti", "Ir", "Ir", "Ir", "Ir"],
  "frac_coords": [[0.000, 0.000, 0.000], [0.500, 0.500, 0.500], [0.000, 0.500, 0.250], [0.000, 0.500, 0.750], [0.500, 0.000, 0.250], [0.500, 0.000, 0.750], [0.000, 0.000, 0.380], [0.000, 0.000, 0.620], [0.500, 0.500, 0.120], [0.500, 0.500, 0.880]],
  "spacegroup": "I4/mmm, No. 139",
  "crystal_system": "tetragonal",
  "formation_energy_mev_per_atom": -661
}

No. 2
{
  "formula": "Rh2C",
  "functional": "GGA-PBEsol",
  "state": "optimized geometry",
  "cell": [[9.468, 0.000, 0.000], [0.000, 2.868, 0.000], [-4.729, 0.000, 5.247]],
  "species": ["Rh", "Rh", "Rh", "Rh", "Rh", "Rh", "Rh", "Rh", "C", "C", "C", "C"],
  "frac_coords": [[0.085, 0.000, 0.391], [0.209, 0.000, 0.132], [0.291, 0.500, 0.868], [0.415, 0.500, 0.609], [0.585, 0.500, 0.391], [0.709, 0.500, 0.132], [0.791, 0.000, 0.868], [0.915, 0.000, 0.609], [0.071, 0.500, 0.853], [0.429, 0.000, 0.147], [0.571, 0.000, 0.853], [0.929, 0.500, 0.147]],
  "polymorph_energy_ev_per_atom": 0.2702,
  "spacegroup": "C2/m, No. 12",
  "crystal_system": "monoclinic",
  "formation_energy_mev_per_atom": 381
}

No. 3
{
  "formula": "Ni2GePdI",
  "functional": "GGA-PBEsol",
  "state": "optimized geometry",
  "cell": [[4.241, 0.000, 0.000], [0.000, 4.241, 0.000], [0.000, 0.000, 5.656]],
  "species": ["Ni", "Ni", "Ge", "Pd", "I"],
  "frac_coords": [[0.000, 0.500, 0.000], [0.500, 0.000, 0.000], [0.000, 0.000, 0.000], [0.500, 0.500, 0.500], [0.000, 0.000, 0.500]],
  "spacegroup": "P4/mmm, No. 123",
  "crystal_system": "tetragonal",
  "e_form_raw_ev_per_atom": 0.85
}

No. 4
{
  "formula": "FeCuI2N",
  "functional": "GGA-PBEsol",
  "state": "optimized geometry",
  "cell": [[5.398, 0.000, 0.000], [0.000, 5.398, 0.000], [0.000, 0.000, 3.600]],
  "species": ["Fe", "Cu", "I", "I", "N"],
  "frac_coords": [[0.000, 0.000, 0.000], [0.500, 0.500, 0.500], [0.000, 0.500, 0.500], [0.500, 0.000, 0.500], [0.500, 0.500, 0.000]],
  "spacegroup": "P4/mmm, No. 123",
  "crystal_system": "tetragonal",
  "e_form_raw_ev_per_atom": 1.07
}

No. 5
{
  "formula": "Li2TiFeO4",
  "functional": "GGA-PBEsol",
  "state": "optimized geometry",
  "cell": [[4.151, 0.000, 0.000], [0.000, 4.151, 0.000], [0.000, 0.000, 7.875]],
  "species": ["Li", "Li", "Li", "Li", "Ti", "Ti", "Fe", "Fe", "O", "O", "O", "O", "O", "O", "O", "O"],
  "frac_coords": [[0.000, 0.500, 0.250], [0.000, 0.500, 0.750], [0.500, 0.000, 0.250], [0.500, 0.000, 0.750], [0.000, 0.000, 0.000], [0.500, 0.500, 0.500], [0.000, 0.000, 0.500], [0.500, 0.500, 0.000], [0.000, 0.000, 0.241], [0.000, 0.000, 0.759], [0.000, 0.500, 0.000], [0.000, 0.500, 0.500], [0.500, 0.000, 0.000], [0.500, 0.000, 0.500], [0.500, 0.500, 0.259], [0.500, 0.500, 0.741]],
  "polymorph_energy_ev_per_atom": 0.0359,
  "spacegroup": "I4/mmm, No. 139",
  "crystal_system": "tetragonal",
  "e_form_raw_ev_per_atom": -2.16
}

No. 6
{
  "formula": "Mg2Nb2FeO8",
  "functional": "GGA-PBEsol",
  "state": "optimized geometry",
  "cell": [[9.434, -2.975, 0.000], [9.434, 2.975, 0.000], [-0.089, 0.000, 5.132]],
  "species": ["Mg", "Mg", "Mg", "Mg", "Nb", "Nb", "Nb", "Nb", "Fe", "Fe", "O", "O", "O", "O", "O", "O", "O", "O", "O", "O", "O", "O", "O", "O", "O", "O"],
  "frac_coords": [[0.087, 0.370, 0.253], [0.370, 0.087, 0.753], [0.630, 0.913, 0.247], [0.913, 0.630, 0.747], [0.220, 0.550, 0.250], [0.450, 0.780, 0.250], [0.550, 0.220, 0.750], [0.780, 0.450, 0.750], [0.133, 0.867, 0.750], [0.867, 0.133, 0.250], [0.046, 0.335, 0.614], [0.067, 0.816, 0.084], [0.184, 0.933, 0.416], [0.213, 0.413, 0.957], [0.313, 0.550, 0.594], [0.335, 0.046, 0.114], [0.413, 0.213, 0.457], [0.450, 0.687, 0.906], [0.550, 0.313, 0.094], [0.587, 0.787, 0.543], [0.665, 0.954, 0.886], [0.687, 0.450, 0.406], [0.787, 0.587, 0.043], [0.816, 0.067, 0.584], [0.933, 0.184, 0.916], [0.954, 0.665, 0.386]],
  "spacegroup": "C2/c, No. 15",
  "crystal_system": "monoclinic",
  "e_form_raw_ev_per_atom": -2.36
}

No. 7
{
  "formula": "BaCa2Pt",
  "functional": "GGA-PBEsol",
  "state": "optimized geometry",
  "cell": [[3.874, 0.000, 0.000], [0.000, 4.327, 0.000], [0.000, 0.000, 16.915]],
  "species": ["Ba", "Ba", "Ca", "Ca", "Ca", "Ca", "Pt", "Pt"],
  "frac_coords": [[0.000, 0.000, 0.000], [0.000, 0.500, 0.500], [0.000, 0.000, 0.679], [0.000, 0.500, 0.179], [0.500, 0.000, 0.316], [0.500, 0.500, 0.816], [0.500, 0.000, 0.150], [0.500, 0.500, 0.650]],
  "polymorph_energy_ev_per_atom": 0.0000,
  "spacegroup": "Amm2, No. 38",
  "crystal_system": "orthorhombic",
  "formation_energy_mev_per_atom": -418
}

No. 8
{
  "formula": "BaLaCrAg2",
  "functional": "GGA-PBEsol",
  "state": "optimized geometry",
  "cell": [[5.544, 0.000, 0.000], [0.000, 5.544, 0.000], [0.000, 0.000, 5.520]],
  "species": ["Ba", "La", "Cr", "Ag", "Ag"],
  "frac_coords": [[0.000, 0.000, 0.000], [0.500, 0.500, 0.500], [0.000, 0.000, 0.500], [0.000, 0.500, 0.000], [0.500, 0.000, 0.000]],
  "spacegroup": "P4/mmm, No. 123",
  "crystal_system": "tetragonal",
  "formation_energy_mev_per_atom": 1185
}

No. 9
{
  "formula": "Tl2SiPt",
  "functional": "GGA-PBEsol",
  "state": "optimized geometry",
  "cell": [[3.145, 0.000, 0.000], [0.000, 3.145, 0.000], [0.000, 0.000, 8.134]],
  "species": ["Tl", "Tl", "Si", "Pt"],
  "frac_coords": [[0.000, 0.000, 0.235], [0.000, 0.000, 0.765], [0.500, 0.500, 0.500], [0.500, 0.500, 0.000]],
  "spacegroup": "P4/mmm, No. 123",
  "crystal_system": "tetragonal",
  "e_form_raw_ev_per_atom": 0.37
}

No. 10
{
  "formula": "K2ScCu",
  "functional": "GGA-PBEsol",
  "state": "optimized geometry",
  "cell": [[8.105, 0.000, 0.000], [0.000, 8.105, 0.000], [0.000, 0.000, 8.105]],
  "species": ["K", "K", "K", "K", "K", "K", "K", "K", "Sc", "Sc", "Sc", "Sc", "Cu", "Cu", "Cu", "Cu"],
  "frac_coords": [[0.250, 0.250, 0.250], [0.250, 0.250, 0.750], [0.250, 0.750, 0.250], [0.250, 0.750, 0.750], [0.750, 0.250, 0.250], [0.750, 0.250, 0.750], [0.750, 0.750, 0.250], [0.750, 0.750, 0.750], [0.000, 0.000, 0.000], [0.000, 0.500, 0.500], [0.500, 0.000, 0.500], [0.500, 0.500, 0.000], [0.000, 0.000, 0.500], [0.000, 0.500, 0.000], [0.500, 0.000, 0.000], [0.500, 0.500, 0.500]],
  "polymorph_energy_ev_per_atom": 0.2638,
  "spacegroup": "Fm-3m, No. 225",
  "crystal_system": "cubic",
  "formation_energy_mev_per_atom": 1007
}

No. 11
{
  "formula": "MnCu4Pt",
  "functional": "GGA-PBEsol",
  "state": "optimized geometry",
  "cell": [[0.000, 3.334, 3.334], [3.334, 0.000, 3.334], [3.334, 3.334, 0.000]],
  "species": ["Mn", "Cu", "Cu", "Cu", "Cu", "Pt"],
  "frac_coords": [[0.000, 0.000, 0.000], [0.125, 0.625, 0.625], [0.625, 0.125, 0.625], [0.625, 0.625, 0.125], [0.625, 0.625, 0.625], [0.250, 0.250, 0.250]],
  "spacegroup": "F-43m, No. 216",
  "crystal_system": "cubic",
  "formation_energy_mev_per_atom": 15
}

No. 12
{
  "formula": "CePd2Pt",
  "functional": "GGA-PBEsol",
  "state": "optimized geometry",
  "cell": [[4.088, 0.000, 0.000], [0.000, 4.088, 0.000], [0.000, 0.000, 4.093]],
  "species": ["Ce", "Pd", "Pd", "Pt"],
  "frac_coords": [[0.000, 0.000, 0.000], [0.000, 0.500, 0.500], [0.500, 0.000, 0.500], [0.500, 0.500, 0.000]],
  "spacegroup": "P4/mmm, No. 123",
  "crystal_system": "tetragonal",
  "formation_energy_mev_per_atom": -862
}

No. 13
{
  "formula": "Pt2C",
  "functional": "GGA-PBEsol",
  "state": "optimized geometry",
  "cell": [[12.653, 0.000, 0.000], [0.000, 2.913, 0.000], [-1.707, 0.000, 4.798]],
  "species": ["Pt", "Pt", "Pt", "Pt", "Pt", "Pt", "Pt", "Pt", "C", "C", "C", "C"],
  "frac_coords": [[0.083, 0.000, 0.243], [0.163, 0.000, 0.804], [0.337, 0.500, 0.196], [0.417, 0.500, 0.757], [0.583, 0.500, 0.243], [0.663, 0.500, 0.804], [0.837, 0.000, 0.196], [0.917, 0.000, 0.757], [0.128, 0.500, 0.523], [0.372, 0.000, 0.477], [0.628, 0.000, 0.523], [0.872, 0.500, 0.477]],
  "polymorph_energy_ev_per_atom": 0.2319,
  "spacegroup": "C2/m, No. 12",
  "crystal_system": "monoclinic",
  "formation_energy_mev_per_atom": 787
}